[1]
Here is an optimized crystal structure of KCuNi from Alexandria. Energies are from GGA-PBEsol.

Properties
**Space-group type**: I4mm, No. 107
**Total moment**: 0.00 μB per cell
**Crystal system**: tetragonal
**Raw total energy**: -3.33 eV per atom
**DOS at the Fermi energy**: 1.89 states/eV/cell
**Energy of formation from the pure elements**: 52.4 kJ per mole of atoms

Unit cell a=6.0373 b=6.0373 c=6.0373 alpha=149.04 beta=149.04 gamma=44.36
Last column: nearest neighbours and their distance in Å.
Fractional coordinates of all 3 atoms:
K 0.0000 0.0000 0.0000  1 Ni 3.04, 5 Cu 3.06-3.40, 4 K 3.22
Cu 0.7261 0.7261 0.0000  4 Ni 2.34
Ni 0.2723 0.2723 0.0000  4 Cu 2.34

[2]
Here is an optimized crystal structure of TaSbTe2P from Alexandria. Energies are from GGA-PBEsol.

Properties
**Space-group type**: P4/mmm, No. 123
**Raw formation energy**: 0.807 eV per atom
**Total moment**: 1.32 μB per cell
**Crystal system**: tetragonal
**Raw total energy**: -5.18 eV per atom
**DOS at the Fermi energy**: 4.73 states/eV/cell

Unit cell a=5.2294 b=5.2294 c=5.3767 alpha=90.00 beta=90.00 gamma=90.00
Last column: nearest neighbours and their distance in Å.
Fractional coordinates of all 5 atoms:
Ta 0.0000 0.0000 0.0000  4 Te 2.61, 2 Sb 2.69
Sb 0.0000 0.0000 0.5000  2 Ta 2.69
Te 0.0000 0.5000 0.0000  2 Ta 2.61
Te 0.5000 0.0000 0.0000  2 Ta 2.61
P 0.5000 0.5000 0.5000  4 Sb 3.70, 8 Te 3.75

[3]
Here is an optimized crystal structure of Li7Mo12S16 from Alexandria. Energies are from GGA-PBEsol.

Properties
**Space-group type**: P1, No. 1
**Raw formation energy**: -0.980 eV per atom
**Total moment**: 0.00 μB per cell
**Crystal system**: triclinic
**Raw total energy**: -7.41 eV per atom
**DOS at the Fermi energy**: 13.65 states/eV/cell

Unit cell a=6.5593 b=6.6077 c=13.1279 alpha=93.01 beta=94.16 gamma=96.25
Last column: nearest neighbours and their distance in Å.
Fractional coordinates of all 35 atoms:
Li 0.0000 0.0000 0.0000  3 S 2.35-2.62
Li 0.0189 0.9818 0.5274  4 S 2.35-2.63
Li 0.3451 0.9371 0.7791  4 S 2.40-2.46
Li 0.3989 0.9572 0.2744  4 S 2.38-2.47
Li 0.8799 0.1081 0.7503  4 S 2.40-2.58
Li 0.9172 0.1220 0.2415  4 S 2.46-2.51
Li 0.9745 0.6259 0.2797  4 S 2.40-2.41
Mo 0.2298 0.4065 0.0343  5 S 2.43-2.54, 4 Mo 2.64-2.67
Mo 0.2360 0.3953 0.5360  5 S 2.40-2.54, 4 Mo 2.64-2.68
Mo 0.4130 0.5412 0.8745  5 S 2.41-2.52, 4 Mo 2.64-2.69
Mo 0.4193 0.5340 0.3768  5 S 2.43-2.58, 4 Mo 2.64-2.69
Mo 0.4556 0.7667 0.0529  5 S 2.43-2.60, 4 Mo 2.65-2.69
Mo 0.4652 0.7578 0.5554  5 S 2.43-2.61, 4 Mo 2.64-2.69
Mo 0.5440 0.2267 0.9670  5 S 2.42-2.60, 4 Mo 2.65-2.68
Mo 0.5516 0.2172 0.4696  5 S 2.43-2.61, 4 Mo 2.66-2.69
Mo 0.5869 0.4491 0.1453  5 S 2.43-2.58, 4 Mo 2.65-2.68
Mo 0.5934 0.4432 0.6476  5 S 2.43-2.53, 4 Mo 2.64-2.69
Mo 0.7716 0.5889 0.9859  5 S 2.40-2.55, 4 Mo 2.65-2.67
Mo 0.7774 0.5784 0.4882  5 S 2.44-2.54, 4 Mo 2.64-2.66
S 0.1372 0.7041 0.9436  1 Li 2.35, 4 Mo 2.41-2.55
S 0.1433 0.6974 0.4487  2 Li 2.35-2.41, 4 Mo 2.43-2.54
S 0.2056 0.2108 0.8699  3 Li 2.41-2.62, 3 Mo 2.44-2.47
S 0.2148 0.1996 0.3715  3 Mo 2.45-2.46, 2 Li 2.47-2.49
S 0.2864 0.6131 0.1949  2 Li 2.41-2.46, 4 Mo 2.43-2.58
S 0.2872 0.6028 0.6937  1 Li 2.40, 4 Mo 2.40-2.52
S 0.3674 0.1232 0.1184  1 Li 2.38, 4 Mo 2.44-2.60
S 0.3787 0.1145 0.6220  2 Li 2.44-2.63, 4 Mo 2.45-2.61
S 0.6322 0.8714 0.8999  4 Mo 2.46-2.60, 2 Li 2.46-2.69
S 0.6430 0.8622 0.4033  1 Li 2.40, 4 Mo 2.44-2.61
S 0.7185 0.3659 0.3271  2 Li 2.41-2.46, 4 Mo 2.43-2.58
S 0.7186 0.3799 0.8289  4 Mo 2.40-2.53, 1 Li 2.40
S 0.7899 0.7890 0.1492  2 Li 2.40-2.49, 3 Mo 2.44-2.48
S 0.7974 0.7752 0.6520  3 Mo 2.43-2.44, 2 Li 2.48-2.61
S 0.8646 0.2866 0.0748  2 Li 2.37-2.51, 4 Mo 2.43-2.54
S 0.8707 0.2775 0.5776  2 Li 2.36-2.58, 4 Mo 2.43-2.54

[4]
Here is an optimized crystal structure of LaScIn2 from Alexandria. Energies are from GGA-PBEsol.

Properties
**Space-group type**: Pmmm, No. 47
**Total moment**: 0.00 μB per cell
**Crystal system**: orthorhombic
**Raw total energy**: -5.00 eV per atom
**DOS at the Fermi energy**: 2.93 states/eV/cell
**Energy of formation from the pure elements**: -50.1 kJ per mole of atoms

Unit cell a=3.2885 b=4.2781 c=7.1356 alpha=90.00 beta=90.00 gamma=90.00
Last column: nearest neighbours and their distance in Å.
Fractional coordinates of all 4 atoms:
La 0.0000 0.0000 0.0000  2 La 3.29, 8 In 3.39, 2 Sc 3.57
Sc 0.0000 0.0000 0.5000  8 In 3.09, 2 Sc 3.29
In 0.5000 0.5000 0.2875  3 In 3.03-3.29, 4 Sc 3.09, 4 La 3.39
In 0.5000 0.5000 0.7125  3 In 3.03-3.29, 4 Sc 3.09, 4 La 3.39

[5]
Here is an optimized crystal structure of AlRh2Pb from Alexandria. Energies are from GGA-PBEsol.

Properties
**Space-group type**: P4mm, No. 99
**Total moment**: 0.00 μB per cell
**Crystal system**: tetragonal
**Raw total energy**: -6.26 eV per atom
**DOS at the Fermi energy**: 2.32 states/eV/cell
**Energy of formation from the pure elements**: -16.6 kJ per mole of atoms

Unit cell a=3.3730 b=3.3730 c=5.8613 alpha=90.00 beta=90.00 gamma=90.00
Last column: nearest neighbours and their distance in Å.
Fractional coordinates of all 4 atoms:
Al 0.0000 0.0000 0.0000  5 Rh 2.49-2.51
Rh 0.0000 0.0000 0.5709  1 Al 2.51, 4 Pb 2.71
Rh 0.5000 0.5000 0.8757  4 Al 2.49, 1 Pb 2.79
Pb 0.5000 0.5000 0.3520  5 Rh 2.71-2.79

[6]
Here is an optimized crystal structure of HoHg2 from Alexandria. Energies are from GGA-PBEsol.

Properties
**Space-group type**: I4/mmm, No. 139
**Total moment**: 0.00 μB per cell
**Crystal system**: tetragonal
**Raw total energy**: -2.47 eV per atom
**DOS at the Fermi energy**: 1.87 states/eV/cell
**Energy of formation from the pure elements**: -42.9 kJ per mole of atoms

Unit cell a=6.0331 b=6.0331 c=6.0331 alpha=145.90 beta=145.90 gamma=49.00
Last column: nearest neighbours and their distance in Å.
Fractional coordinates of all 3 atoms:
Ho 0.0000 0.0000 0.0000  8 Hg 3.11
Hg 0.3310 0.3310 0.0000  4 Hg 3.07, 4 Ho 3.11
Hg 0.6690 0.6690 0.0000  4 Hg 3.07, 4 Ho 3.11

[7]
Here is an optimized crystal structure of Fe3SiNi from Alexandria. Energies are from GGA-PBEsol.

Properties
**Space-group type**: P2_13, No. 198
**Raw formation energy**: -0.280 eV per atom
**Total moment**: 25.96 μB per cell
**Crystal system**: cubic
**Raw total energy**: -8.04 eV per atom
**DOS at the Fermi energy**: 15.45 states/eV/cell

Unit cell a=6.0057 b=6.0057 c=6.0057 alpha=90.00 beta=90.00 gamma=90.00
Last column: nearest neighbours and their distance in Å.
Fractional coordinates of all 20 atoms:
Fe 0.0468 0.1237 0.7953  3 Si 2.42-2.56, 3 Ni 2.45-2.54, 6 Fe 2.52-2.53
Fe 0.1237 0.7953 0.0468  3 Si 2.42-2.56, 3 Ni 2.45-2.54, 6 Fe 2.52-2.53
Fe 0.2047 0.5468 0.3763  3 Si 2.42-2.56, 3 Ni 2.45-2.54, 6 Fe 2.52-2.53
Fe 0.2953 0.4532 0.8763  3 Si 2.42-2.56, 3 Ni 2.45-2.54, 6 Fe 2.52-2.53
Fe 0.3763 0.2047 0.5468  3 Si 2.42-2.56, 3 Ni 2.45-2.54, 6 Fe 2.52-2.53
Fe 0.4532 0.8763 0.2953  3 Si 2.42-2.56, 3 Ni 2.45-2.54, 6 Fe 2.52-2.53
Fe 0.5468 0.3763 0.2047  3 Si 2.42-2.56, 3 Ni 2.45-2.54, 6 Fe 2.52-2.53
Fe 0.6237 0.7047 0.9532  3 Si 2.42-2.56, 3 Ni 2.45-2.54, 6 Fe 2.52-2.53
Fe 0.7047 0.9532 0.6237  3 Si 2.42-2.56, 3 Ni 2.45-2.54, 6 Fe 2.52-2.53
Fe 0.7953 0.0468 0.1237  3 Si 2.42-2.56, 3 Ni 2.45-2.54, 6 Fe 2.52-2.53
Fe 0.8763 0.2953 0.4532  3 Si 2.42-2.56, 3 Ni 2.45-2.54, 6 Fe 2.52-2.53
Fe 0.9532 0.6237 0.7047  3 Si 2.42-2.56, 3 Ni 2.45-2.54, 6 Fe 2.52-2.53
Si 0.0625 0.9375 0.4375  3 Ni 2.25, 3 Fe 2.42
Si 0.4375 0.0625 0.9375  3 Ni 2.25, 3 Fe 2.42
Si 0.5625 0.5625 0.5625  3 Ni 2.25, 3 Fe 2.42
Si 0.9375 0.4375 0.0625  3 Ni 2.25, 3 Fe 2.42
Ni 0.1863 0.1863 0.1863  3 Si 2.25, 3 Fe 2.45
Ni 0.3137 0.8137 0.6863  3 Si 2.25, 3 Fe 2.45
Ni 0.6863 0.3137 0.8137  3 Si 2.25, 3 Fe 2.45
Ni 0.8137 0.6863 0.3137  3 Si 2.25, 3 Fe 2.45

[8]
Here is an optimized crystal structure of K5Sb from Alexandria. Energies are from GGA-PBEsol.

Properties
**Space-group type**: Cmmm, No. 65
**Raw formation energy**: -0.176 eV per atom
**Total moment**: 0.00 μB per cell
**Crystal system**: orthorhombic
**Raw total energy**: -1.88 eV per atom
**DOS at the Fermi energy**: 2.00 states/eV/cell

Unit cell a=9.1752 b=9.1752 c=5.7413 alpha=90.00 beta=90.00 gamma=144.10
Last column: nearest neighbours and their distance in Å.
Fractional coordinates of all 6 atoms:
K 0.0000 0.0000 0.0000  8 K 3.75, 4 Sb 4.03
K 0.1380 0.8620 0.5000  2 Sb 3.72, 6 K 3.75-4.03
K 0.3593 0.6407 0.0000  6 K 3.75-4.03, 2 Sb 3.78
K 0.6407 0.3593 0.0000  6 K 3.75-4.03, 2 Sb 3.78
K 0.8620 0.1380 0.5000  2 Sb 3.72, 6 K 3.75-4.03
Sb 0.5000 0.5000 0.5000  12 K 3.72-4.03

[9]
Here is an optimized crystal structure of CaGe3P from Alexandria. Energies are from GGA-PBEsol.

Properties
**Space-group type**: Pm-3m, No. 221
**Total moment**: 0.63 μB per cell
**Crystal system**: cubic
**Raw total energy**: -3.10 eV per atom
**DOS at the Fermi energy**: 6.18 states/eV/cell
**Energy of formation from the pure elements**: 139.6 kJ per mole of atoms

Unit cell a=5.2004 b=5.2004 c=5.2004 alpha=90.00 beta=90.00 gamma=90.00
Last column: nearest neighbours and their distance in Å.
Fractional coordinates of all 5 atoms:
Ca 0.0000 0.0000 0.0000  6 Ge 2.60
Ge 0.0000 0.0000 0.5000  2 Ca 2.60
Ge 0.0000 0.5000 0.0000  2 Ca 2.60
Ge 0.5000 0.0000 0.0000  2 Ca 2.60
P 0.5000 0.5000 0.5000  12 Ge 3.68

[10]
Here is an optimized crystal structure of Be3AsSe from Alexandria. Energies are from GGA-PBEsol.

Properties
**Space-group type**: Pm-3m, No. 221
**Raw formation energy**: 0.803 eV per atom
**Total moment**: 0.00 μB per cell
**Crystal system**: cubic
**Raw total energy**: -3.39 eV per atom
**DOS at the Fermi energy**: 3.00 states/eV/cell

Unit cell a=4.2854 b=4.2854 c=4.2854 alpha=90.00 beta=90.00 gamma=90.00
Last column: nearest neighbours and their distance in Å.
Fractional coordinates of all 5 atoms:
Be 0.0000 0.0000 0.5000  2 Se 2.14
Be 0.0000 0.5000 0.0000  2 Se 2.14
Be 0.5000 0.0000 0.0000  2 Se 2.14
As 0.5000 0.5000 0.5000  12 Be 3.03
Se 0.0000 0.0000 0.0000  6 Be 2.14